Entry 1:
This record from Alexandria describes Eu2ErMg after structural relaxation. The functional is PBE.

Results
The value obtained for the final energy is -6.629 eV/atom. As for the formation energy: 0.19 eV/f.u. The volume comes out at 135.7 Å³/cell.

abc: 3.7105 3.7105 9.8564
angles: 90.00 90.00 90.00
With the nearest neighbours (Å) after each atom.
Space group P4/mmm (No. 123)
Asymmetric unit:
Eu: 0.0000 0.0000 0.2353  4 Mg 3.50, 4 Er 3.70, 4 Eu 3.71
Er: 0.5000 0.5000 0.5000  8 Eu 3.70, 4 Er 3.71
Mg: 0.5000 0.5000 0.0000  8 Eu 3.50, 4 Mg 3.71

Entry 2:
This record from Alexandria describes EuEr2Mg after structural relaxation. The functional is PBE.

Results
The value obtained for the final energy is -5.155 eV/atom. As for the formation energy: 0.37 eV/f.u. The volume comes out at 482.5 Å³/cell.

abc: 7.8433 7.8433 7.8433
angles: 90.00 90.00 90.00
With the nearest neighbours (Å) after each atom.
Space group Fm-3m (No. 225)
Asymmetric unit:
Eu: 0.0000 0.0000 0.0000  8 Er 3.40
Er: 0.2500 0.2500 0.2500  4 Mg 3.40, 4 Eu 3.40
Mg: 0.0000 0.0000 0.5000  8 Er 3.40

Entry 3:
This record from Alexandria describes Eu2ErMg after structural relaxation. The functional is PBE.

Results
The value obtained for the final energy is -6.587 eV/atom. As for the formation energy: 0.36 eV/f.u. The volume comes out at 534.8 Å³/cell.

abc: 8.1172 8.1172 8.1172
angles: 90.00 90.00 90.00
With the nearest neighbours (Å) after each atom.
Space group Fm-3m (No. 225)
Asymmetric unit:
Eu: 0.2500 0.2500 0.2500  4 Mg 3.51, 4 Er 3.51
Er: 0.0000 0.0000 0.0000  8 Eu 3.51
Mg: 0.0000 0.0000 0.5000  8 Eu 3.51

no.,ρ (g cm⁻³)
1,6.06
2,7.03
3,6.15